(1)
KCo3 after structural relaxation. Source: Alexandria via LeMat-Bulk, functional GGA-PBE.

POSCAR file:
```
KCo3
1.0
4.520 2.609 0.846
-4.520 2.609 0.846
0.000 -5.219 0.846
K Co
1 3
Direct
0.000 0.000 0.000
0.000 0.500 0.500
0.500 0.000 0.500
0.500 0.500 0.000
```

Results
The value obtained for the formation enthalpy at 0 K is 1152 meV/atom. As for the total magnetization: 1.232 μB/atom. Its volume is 15.0 Å³/atom.

---

(2)
YNiSb2 after structural relaxation. Source: Alexandria via LeMat-Bulk, functional GGA-PBE.

POSCAR file:
```
YNiSb2
1.0
3.614 -2.091 0.000
3.614 2.091 0.000
-2.420 0.000 6.187
Y Ni Sb
1 1 2
Direct
0.000 0.000 0.000
0.500 0.500 0.500
0.230 0.230 0.691
0.770 0.770 0.309
```

Results
The calculation puts the formation energy (no corrections) at -0.39 eV per atom. As for the total magnetization: 0.000 μB/atom. Its volume is 23.4 Å³/atom.

---

(3)
LiMgAg3 after structural relaxation. Source: Alexandria via LeMat-Bulk, functional GGA-PBE.

POSCAR file:
```
LiMgAg3
1.0
4.928 0.000 0.000
0.000 4.780 0.000
-2.434 0.000 7.428
Li Mg Ag
2 2 6
Direct
0.195 0.250 0.289
0.805 0.750 0.711
0.412 0.250 0.701
0.588 0.750 0.299
0.013 0.250 0.896
0.191 0.750 0.501
0.381 0.750 0.896
0.619 0.250 0.104
0.809 0.250 0.499
0.987 0.750 0.104
```

Results
The value obtained for the formation enthalpy at 0 K is -198 meV/atom. As for the total magnetization: 0.000 μB/atom. Its volume is 17.5 Å³/atom.

---

Question: Which value of volume does entry 1 give?
Answer: 15.0 Å³/atom